Compound: Sm3AlGa2
Source: the Alexandria database
Functional: PBE-GGA
Structure: relaxed

Cell: 4.4268 11.5193 12.0644 Å, 90.00 90.00 90.00°
Closest atoms and distances in Å follow each position.
Sites, in units of the cell vectors:
1 Ga 0.7500 0.1757 0.0209  2 Al 2.65
2 Sm 0.2500 0.6913 0.2043  2 Al 3.09, 4 Ga 3.12-3.32
3 Al 0.2500 0.3795 0.6297  3 Ga 2.63-2.65
4 Ga 0.7500 0.4928 0.1900  1 Al 2.63
5 Al 0.7500 0.8795 0.8703  3 Ga 2.63-2.65
6 Sm 0.2500 0.4233 0.3650  5 Ga 3.12-3.22, 3 Al 3.17-3.23
7 Sm 0.7500 0.5767 0.6350  5 Ga 3.12-3.22, 3 Al 3.17-3.23
8 Al 0.7500 0.6205 0.3703  3 Ga 2.63-2.65
9 Al 0.2500 0.1205 0.1297  3 Ga 2.63-2.65
10 Ga 0.2500 0.6757 0.4791  2 Al 2.65
11 Sm 0.2500 0.1215 0.5564  5 Ga 3.04-3.32, 1 Al 3.10
12 Sm 0.2500 0.8087 0.7043  2 Al 3.09, 4 Ga 3.12-3.32
13 Ga 0.7500 0.3243 0.5209  2 Al 2.65
14 Ga 0.7500 0.0072 0.6900  1 Al 2.63
15 Ga 0.2500 0.9928 0.3100  1 Al 2.63
16 Ga 0.2500 0.8243 0.9791  2 Al 2.65
17 Sm 0.7500 0.3087 0.7957  2 Al 3.09, 4 Ga 3.12-3.32
18 Sm 0.7500 0.9233 0.1350  5 Ga 3.12-3.22, 3 Al 3.17-3.23
19 Sm 0.7500 0.1913 0.2957  2 Al 3.09, 4 Ga 3.12-3.32
20 Ga 0.2500 0.5072 0.8100  1 Al 2.63
21 Sm 0.7500 0.8785 0.4436  5 Ga 3.04-3.32, 1 Al 3.10
22 Sm 0.2500 0.3785 0.0564  5 Ga 3.04-3.32, 1 Al 3.10
23 Sm 0.7500 0.6215 0.9436  5 Ga 3.04-3.32, 1 Al 3.10
24 Sm 0.2500 0.0767 0.8650  5 Ga 3.12-3.22, 3 Al 3.17-3.23

Properties
- density (g cm⁻³) = 6.67
- electronic total energy (eV/cell) = -107.71
- SG = No. 62
- DFT formation energy (eV per atom) = -0.495

---

Compound: SrSmAlGa
Source: the Alexandria database
Functional: PBE-GGA
Structure: relaxed

Cell: 5.3520 5.3520 5.3520 Å, 60.00 60.00 60.00°
Closest atoms and distances in Å follow each position.
Sites, in units of the cell vectors:
1 Al 0.7500 0.7500 0.7500  4 Sm 3.28, 4 Sr 3.28
2 Ga 0.2500 0.2500 0.2500  4 Sm 3.28, 4 Sr 3.28
3 Sm 0.0000 0.0000 0.0000  4 Al 3.28, 4 Ga 3.28
4 Sr 0.5000 0.5000 0.5000  4 Al 3.28, 4 Ga 3.28

Properties
- density (g cm⁻³) = 5.13
- electronic total energy (eV/cell) = -14.28
- SG = No. 216
- DFT formation energy (eV per atom) = -0.276

---

Compound: TbSmAl2Ga2
Source: the Alexandria database
Functional: PBE-GGA
Structure: relaxed

Cell: 4.4853 4.4853 7.2808 Å, 90.00 90.00 120.00°
Closest atoms and distances in Å follow each position.
Sites, in units of the cell vectors:
1 Al 0.3333 0.6667 0.7445  3 Ga 2.59
2 Ga 0.3333 0.6667 0.2577  3 Al 2.59
3 Sm 0.0000 0.0000 0.0000  6 Al 3.19, 6 Ga 3.20
4 Ga 0.6667 0.3333 0.7423  3 Al 2.59
5 Tb 0.0000 0.0000 0.5000  6 Ga 3.13, 6 Al 3.14
6 Al 0.6667 0.3333 0.2555  3 Ga 2.59

Properties
- density (g cm⁻³) = 6.58
- electronic total energy (eV/cell) = -26.37
- SG = No. 164
- DFT formation energy (eV per atom) = -0.580

---

Compound: Tb2SmAl2Ga2
Source: the Alexandria database
Functional: PBE-GGA
Structure: relaxed

Cell: 4.2725 4.2725 11.1853 Å, 78.99 78.99 60.00°
Closest atoms and distances in Å follow each position.
Sites, in units of the cell vectors:
1 Al 0.3935 0.3935 0.8194  3 Ga 2.50
2 Ga 0.2612 0.2612 0.2163  3 Al 2.50
3 Ga 0.7388 0.7388 0.7837  3 Al 2.50
4 Tb 0.8744 0.8744 0.3768  3 Ga 3.03, 3 Al 3.27
5 Tb 0.1256 0.1256 0.6232  3 Ga 3.03, 3 Al 3.27
6 Sm 0.0000 0.0000 0.0000  6 Al 3.16, 6 Ga 3.41
7 Al 0.6065 0.6065 0.1806  3 Ga 2.50

Properties
- density (g cm⁻³) = 6.37
- electronic total energy (eV/cell) = -30.36
- SG = No. 166
- DFT formation energy (eV per atom) = -0.406

---

Compound: Sm2ThAl2Ga2
Source: the Alexandria database
Functional: PBE-GGA
Structure: relaxed

Cell: 4.2640 4.2640 11.6535 Å, 79.46 79.46 60.00°
Closest atoms and distances in Å follow each position.
Sites, in units of the cell vectors:
1 Al 0.6063 0.6063 0.1811  3 Ga 2.47
2 Ga 0.2658 0.2658 0.2027  3 Al 2.47
3 Al 0.3937 0.3937 0.8189  3 Ga 2.47
4 Sm 0.1242 0.1242 0.6273  3 Ga 3.13, 3 Al 3.29
5 Th 0.0000 0.0000 0.0000  6 Al 3.21, 6 Ga 3.38
6 Sm 0.8758 0.8758 0.3727  3 Ga 3.13, 3 Al 3.29
7 Ga 0.7342 0.7342 0.7973  3 Al 2.47

Properties
- density (g cm⁻³) = 6.72
- electronic total energy (eV/cell) = -33.24
- SG = No. 166
- DFT formation energy (eV per atom) = -0.406

---

Compound: Sm2Th2AlGa4
Source: the Alexandria database
Functional: PBE-GGA
Structure: relaxed

Cell: 6.7866 6.7866 6.7866 Å, 94.95 117.19 117.19°
Closest atoms and distances in Å follow each position.
Sites, in units of the cell vectors:
1 Th 0.0000 0.6921 0.6921  1 Al 2.83, 4 Ga 3.08
2 Ga 0.0000 0.2474 0.7526  1 Al 2.47
3 Ga 0.5052 0.7526 0.7526  1 Al 2.47
4 Sm 0.5000 0.7500 0.2500  8 Ga 3.39, 4 Th 3.58
5 Th 0.0000 0.3079 0.3079  1 Al 2.83, 4 Ga 3.08
6 Ga 0.0000 0.7526 0.2474  1 Al 2.47
7 Sm 0.5000 0.2500 0.7500  8 Ga 3.39, 4 Th 3.58
8 Al 0.0000 0.0000 0.0000  4 Ga 2.47
9 Ga 0.4948 0.2474 0.2474  1 Al 2.47

Properties
- density (g cm⁻³) = 7.75
- electronic total energy (eV/cell) = -41.81
- SG = No. 139
- DFT formation energy (eV per atom) = -0.187

---

Among the records above, which one has the highest DFT formation energy?
Sm2Th2AlGa4